The following is a PBE calculation of a relaxed RbInHg2 crystal, from the Alexandria database.

Structure (CIF):
```
data_RbInHg2
_chemical_formula_sum 'Rb4 In4 Hg8'
_cell_length_a 5.8969
_cell_length_b 5.8969
_cell_length_c 19.5252
_cell_angle_alpha 90.00
_cell_angle_beta 90.00
_cell_angle_gamma 90.00
_space_group_name_H-M_alt 'I -4 2 d'
_space_group_IT_number 122
_space_group_name_Hall 'I -4 2bw'
loop_
_atom_site_label
_atom_site_type_symbol
_atom_site_fract_x
_atom_site_fract_y
_atom_site_fract_z
_atom_site_occupancy
Rb1 Rb 0.0000 0.0000 0.0000 1
In1 In 0.0000 0.0000 0.5000 1
Hg1 Hg 0.1025 0.2500 0.6250 1
```

Raw total energy   -1.125 eV per atom